Entry 1:
A crystal of KTi3Co relaxed with PBEsol. Source: the Alexandria database, functional meta-GGA SCAN.

Unit cell a=4.6514 b=4.6514 c=4.6514 alpha=90.00 beta=90.00 gamma=90.00
Closest atoms and distances in Å follow each position.
Fractional coordinates of all 5 atoms:
Ti (0.5000, 0.0000, 0.0000)  2 Co 2.33
Ti (0.0000, 0.0000, 0.5000)  2 Co 2.33
Ti (0.0000, 0.5000, 0.0000)  2 Co 2.33
Co (0.0000, 0.0000, 0.0000)  6 Ti 2.33
K (0.5000, 0.5000, 0.5000)  12 Ti 3.29

Calculated values
Its mass density is 3.99 g/cm3. The formation energy is 685 meV/atom. The value obtained for the electronic total energy is -14.06 eV per atom. The total magnetization comes out at 0.0 μB/f.u.

=====

Entry 2:
A crystal of K2TiCo relaxed with PBEsol. Source: the Alexandria database, functional meta-GGA SCAN.

Unit cell a=5.5510 b=5.5510 c=5.5510 alpha=60.00 beta=60.00 gamma=60.00
Closest atoms and distances in Å follow each position.
Fractional coordinates of all 4 atoms:
Ti (0.0000, 0.0000, 0.0000)  8 K 3.40
K (0.7500, 0.7500, 0.7500)  4 Ti 3.40, 4 Co 3.40
Co (0.5000, 0.5000, 0.5000)  8 K 3.40
K (0.2500, 0.2500, 0.2500)  4 Co 3.40, 4 Ti 3.40

Calculated values
Its mass density is 2.54 g/cm3. The formation energy is 1569 meV/atom. The value obtained for the electronic total energy is -10.93 eV per atom. The total magnetization comes out at 5.2 μB/f.u.